CsRbSb2Te: relaxed, PBE.

Lattice parameters (Å, degrees): 6.439 6.439 6.725 90.00 90.00 90.00
Space group P4/mmm (No. 123)
Asymmetric unit:
Cs: 0.000 0.000 0.000
Rb: 0.500 0.500 0.500
Sb: 0.000 0.500 0.000
Te: 0.000 0.000 0.500

Output
Energy above the lowest structure with this stoichiometry ... 113 meV per atom
VASP energy ... -1.99 eV/atom
Formation energy from raw total energies ... 14.9 kcal/mol of atoms



BaScBe: relaxed, PBE.

Lattice parameters (Å, degrees): 7.065 7.065 7.065 90.00 90.00 90.00
Space group F-43m (No. 216)
Asymmetric unit:
Ba: 0.000 0.000 0.000
Sc: 0.250 0.250 0.750
Be: 0.250 0.250 0.250

Output
Energy above the lowest structure with this stoichiometry ... 936 meV per atom
VASP energy ... -2.71 eV/atom
Formation energy from the elements ... 124.0 kJ/mol of atoms